No. 1
A plane-wave DFT calculation with PBE-GGA was carried out for La6P2IrS3 after structural relaxation.

Unit cell a=18.336 b=4.200 c=8.516 alpha=90.00 beta=103.33 gamma=90.00
Space group C2/m (No. 12)
One atom of each set of equivalent atoms:
1 La 0.001 0.000 0.245 (multiplicity 4)
2 La 0.162 0.500 0.086 (multiplicity 4)
3 La 0.169 0.500 0.581 (multiplicity 4)
4 P 0.166 0.000 0.336 (multiplicity 4)
5 Ir 0.000 0.500 0.000 (multiplicity 2)
6 S 0.000 0.500 0.500 (multiplicity 2)
7 S 0.169 0.000 0.833 (multiplicity 4)

Output
Total moment (μB per cell): 0.0
Uncorrected formation energy (eV/atom): -1.73
Total DFT energy (no corrections) (Ry/atom): -0.5049
Fermi-level density of states (states/eV per cell): 12.62

---

No. 2
A plane-wave DFT calculation with PBE-GGA was carried out for La4PIrS2 after structural relaxation.

Unit cell a=7.335 b=4.180 c=7.340 alpha=90.00 beta=108.27 gamma=90.00
Space group P2/m (No. 10)
One atom of each set of equivalent atoms:
1 La 0.245 0.000 0.242 (multiplicity 2)
2 La 0.246 0.500 0.762 (multiplicity 2)
3 P 0.500 0.000 0.000 (multiplicity 1)
4 Ir 0.000 0.500 0.000 (multiplicity 1)
5 S 0.000 0.000 0.500 (multiplicity 1)
6 S 0.500 0.500 0.500 (multiplicity 1)

Output
Total moment (μB per cell): 0.0
Uncorrected formation energy (eV/atom): -1.63
Total DFT energy (no corrections) (Ry/atom): -0.5077
Fermi-level density of states (states/eV per cell): 6.23

---

No. 3
A plane-wave DFT calculation with PBE-GGA was carried out for La2PIrS after structural relaxation.

Unit cell a=5.652 b=5.652 c=4.359 alpha=90.00 beta=90.00 gamma=90.00
Space group P4/mmm (No. 123)
One atom of each set of equivalent atoms:
1 La 0.000 0.500 0.000 (multiplicity 2)
2 P 0.000 0.000 0.500 (multiplicity 1)
3 Ir 0.000 0.000 0.000 (multiplicity 1)
4 S 0.500 0.500 0.500 (multiplicity 1)

Output
Polymorph energy (0 for the lowest one) (meV per atom): 0
Total moment (μB per cell): 0.0
Uncorrected formation energy (eV/atom): -0.94
Total DFT energy (no corrections) (Ry/atom): -0.4845
Fermi-level density of states (states/eV per cell): 3.24

---

No. 4
A plane-wave DFT calculation with PBE-GGA was carried out for La2PIrS after structural relaxation.

Unit cell a=5.439 b=5.439 c=4.280 alpha=90.00 beta=90.00 gamma=90.00
Space group P4/mmm (No. 123)
One atom of each set of equivalent atoms:
1 La 0.000 0.500 0.000 (multiplicity 2)
2 P 0.000 0.000 0.500 (multiplicity 1)
3 Ir 0.500 0.500 0.500 (multiplicity 1)
4 S 0.000 0.000 0.000 (multiplicity 1)

Output
Polymorph energy (0 for the lowest one) (meV per atom): 602
Total moment (μB per cell): 0.0
Uncorrected formation energy (eV/atom): -0.34
Total DFT energy (no corrections) (Ry/atom): -0.4403
Fermi-level density of states (states/eV per cell): 2.11

---

No. 5
A plane-wave DFT calculation with PBE-GGA was carried out for La2SbP3Ir4 after structural relaxation.

Unit cell a=4.200 b=4.200 c=10.431 alpha=90.00 beta=90.00 gamma=90.00
Space group P-4m2 (No. 115)
One atom of each set of equivalent atoms:
1 La 0.000 0.500 0.240 (multiplicity 2)
2 Sb 0.000 0.000 0.500 (multiplicity 1)
3 P 0.000 0.500 0.869 (multiplicity 2)
4 P 0.500 0.500 0.500 (multiplicity 1)
5 Ir 0.000 0.000 0.000 (multiplicity 1)
6 Ir 0.000 0.500 0.645 (multiplicity 2)
7 Ir 0.500 0.500 0.000 (multiplicity 1)

Output
Total moment (μB per cell): 0.0
Uncorrected formation energy (eV/atom): -0.83
Total DFT energy (no corrections) (Ry/atom): -0.5433
Fermi-level density of states (states/eV per cell): 5.82

---

No. 6
A plane-wave DFT calculation with PBE-GGA was carried out for La2ScP3Ir12 after structural relaxation.

Unit cell a=9.0822 b=9.0822 c=12.9641 alpha=90.00 beta=90.00 gamma=120.00
Space group R-3m (No. 166, hexagonal axes)
One atom of each set of equivalent atoms:
1 La 0.0000 0.0000 0.1266 (multiplicity 6)
2 Sc 0.0000 0.0000 0.5000 (multiplicity 3)
3 P 0.0000 0.5000 0.0000 (multiplicity 9)
4 Ir 0.9996 0.4998 0.1737 (multiplicity 18)
5 Ir 0.0196 0.5098 0.3798 (multiplicity 18)

Output
Total moment (μB per cell): 0.0
Total DFT energy (no corrections) (Ry/atom): -0.5734
Fermi-level density of states (states/eV per cell): 33.30

---

Question: Among the records above, which one has the lowest total DFT energy (no corrections)?
Answer: La2ScP3Ir12

---

Question: What is the formula in the third record?
Answer: La2PIrS

---

Copy entry 6 word for word.
A plane-wave DFT calculation with PBE-GGA was carried out for La2ScP3Ir12 after structural relaxation.

Unit cell a=9.0822 b=9.0822 c=12.9641 alpha=90.00 beta=90.00 gamma=120.00
Space group R-3m (No. 166, hexagonal axes)
One atom of each set of equivalent atoms:
1 La 0.0000 0.0000 0.1266 (multiplicity 6)
2 Sc 0.0000 0.0000 0.5000 (multiplicity 3)
3 P 0.0000 0.5000 0.0000 (multiplicity 9)
4 Ir 0.9996 0.4998 0.1737 (multiplicity 18)
5 Ir 0.0196 0.5098 0.3798 (multiplicity 18)

Output
Total moment (μB per cell): 0.0
Total DFT energy (no corrections) (Ry/atom): -0.5734
Fermi-level density of states (states/eV per cell): 33.30